# 1
DFT (PBE) results for a geometry-optimized UTi2Mn structure.

CIF file:
```
data_UTi2Mn
_cell_length_a 2.9488
_cell_length_b 2.9488
_cell_length_c 7.5715
_cell_angle_alpha 90.00
_cell_angle_beta 90.00
_cell_angle_gamma 90.00
_symmetry_space_group_name_H-M 'P 4/m m m'
_symmetry_Int_Tables_number 123
_symmetry_space_group_name_Hall '-P 4 2'
loop_
_atom_site_label
_atom_site_type_symbol
_atom_site_fract_x
_atom_site_fract_y
_atom_site_fract_z
U1 U 0.0000 0.0000 0.0000
Ti1 Ti 0.5000 0.5000 0.3086
Mn1 Mn 0.0000 0.0000 0.5000
```

energy of formation from the pure elements: -0.0068 eV per atom
density of states at the Fermi level: 5.33 states/eV per cell

---

# 2
DFT (PBE) results for a geometry-optimized CuRhF2 structure.

CIF file:
```
data_CuRhF2
_cell_length_a 5.7672
_cell_length_b 5.7672
_cell_length_c 5.7672
_cell_angle_alpha 90.00
_cell_angle_beta 90.00
_cell_angle_gamma 90.00
_symmetry_space_group_name_H-M 'F m -3 m'
_symmetry_Int_Tables_number 225
_symmetry_space_group_name_Hall '-F 4 2 3'
loop_
_atom_site_label
_atom_site_type_symbol
_atom_site_fract_x
_atom_site_fract_y
_atom_site_fract_z
Cu1 Cu 0.0000 0.0000 0.0000
Rh1 Rh 0.0000 0.0000 0.5000
F1 F 0.2500 0.2500 0.2500
```

ΔE_f (raw): -301 meV per atom
density of states at the Fermi level: 17.19 states/eV per cell

---

# 3
DFT (PBE) results for a geometry-optimized SrSc3Be structure.

CIF file:
```
data_SrSc3Be
_cell_length_a 5.1745
_cell_length_b 5.1745
_cell_length_c 5.1745
_cell_angle_alpha 90.00
_cell_angle_beta 90.00
_cell_angle_gamma 90.00
_symmetry_space_group_name_H-M 'P m -3 m'
_symmetry_Int_Tables_number 221
_symmetry_space_group_name_Hall '-P 4 2 3'
loop_
_atom_site_label
_atom_site_type_symbol
_atom_site_fract_x
_atom_site_fract_y
_atom_site_fract_z
Sr1 Sr 0.0000 0.0000 0.0000
Sc1 Sc 0.0000 0.0000 0.5000
Be1 Be 0.5000 0.5000 0.5000
```

energy of formation from the pure elements: 1.7182 eV per atom
density of states at the Fermi level: 4.03 states/eV per cell

---

# 4
DFT (PBE) results for a geometry-optimized SmMnGaPt3 structure.

CIF file:
```
data_SmMnGaPt3
_cell_length_a 5.6556
_cell_length_b 16.2417
_cell_length_c 5.6499
_cell_angle_alpha 90.00
_cell_angle_beta 90.00
_cell_angle_gamma 90.00
_symmetry_space_group_name_H-M 'C m c m'
_symmetry_Int_Tables_number 63
_symmetry_space_group_name_Hall '-C 2c 2'
loop_
_atom_site_label
_atom_site_type_symbol
_atom_site_fract_x
_atom_site_fract_y
_atom_site_fract_z
Sm1 Sm 0.0000 0.2013 0.2500
Mn1 Mn 0.0000 0.4011 0.7500
Ga1 Ga 0.0000 0.0940 0.7500
Pt1 Pt 0.0000 0.2464 0.7500
Pt2 Pt 0.2486 0.5000 0.0000
```

energy of formation from the pure elements: -0.4930 eV per atom
density of states at the Fermi level: 5.97 states/eV per cell

---

# 5
DFT (PBE) results for a geometry-optimized LiTbPuTc structure.

CIF file:
```
data_LiTbPuTc
_cell_length_a 6.9316
_cell_length_b 6.9316
_cell_length_c 6.9316
_cell_angle_alpha 90.00
_cell_angle_beta 90.00
_cell_angle_gamma 90.00
_symmetry_space_group_name_H-M 'F -4 3 m'
_symmetry_Int_Tables_number 216
_symmetry_space_group_name_Hall 'F -4 2 3'
loop_
_atom_site_label
_atom_site_type_symbol
_atom_site_fract_x
_atom_site_fract_y
_atom_site_fract_z
Li1 Li 0.0000 0.0000 0.0000
Tb1 Tb 0.2500 0.2500 0.2500
Pu1 Pu 0.2500 0.2500 0.7500
Tc1 Tc 0.0000 0.0000 0.5000
```

energy of formation from the pure elements: 0.1064 eV per atom
density of states at the Fermi level: 34.72 states/eV per cell

---

# 6
DFT (PBE) results for a geometry-optimized SiPt2W structure.

CIF file:
```
data_SiPt2W
_cell_length_a 2.9379
_cell_length_b 2.9379
_cell_length_c 6.9581
_cell_angle_alpha 90.00
_cell_angle_beta 90.00
_cell_angle_gamma 90.00
_symmetry_space_group_name_H-M 'P 4 m m'
_symmetry_Int_Tables_number 99
loop_
_symmetry_equiv_pos_as_xyz
'x,y,z'
'-y,x,z'
'-x,-y,z'
'y,-x,z'
'-x,y,z'
'y,x,z'
'x,-y,z'
'-y,-x,z'
loop_
_atom_site_label
_atom_site_type_symbol
_atom_site_fract_x
_atom_site_fract_y
_atom_site_fract_z
Si1 Si 0.0000 0.0000 0.0000
Pt1 Pt 0.0000 0.0000 0.4913
Pt2 Pt 0.5000 0.5000 0.8073
W1 W 0.5000 0.5000 0.2434
```

ΔE_f (raw): -318 meV per atom
density of states at the Fermi level: 0.82 states/eV per cell

---

# 7
DFT (PBE) results for a geometry-optimized CaSb4Ir structure.

CIF file:
```
data_CaSb4Ir
_cell_length_a 8.6287
_cell_length_b 8.6287
_cell_length_c 8.6287
_cell_angle_alpha 90.00
_cell_angle_beta 90.00
_cell_angle_gamma 90.00
_symmetry_space_group_name_H-M 'F -4 3 m'
_symmetry_Int_Tables_number 216
_symmetry_space_group_name_Hall 'F -4 2 3'
loop_
_atom_site_label
_atom_site_type_symbol
_atom_site_fract_x
_atom_site_fract_y
_atom_site_fract_z
Ca1 Ca 0.0000 0.0000 0.0000
Sb1 Sb 0.1244 0.1244 0.3756
Ir1 Ir 0.2500 0.2500 0.7500
```

ΔE_f (raw): 455 meV per atom
density of states at the Fermi level: 22.94 states/eV per cell

---

# 8
DFT (PBE) results for a geometry-optimized PrTm3Hg6 structure.

CIF file:
```
data_PrTm3Hg6
_cell_length_a 9.1522
_cell_length_b 5.1640
_cell_length_c 11.1817
_cell_angle_alpha 90.00
_cell_angle_beta 107.04
_cell_angle_gamma 90.00
_symmetry_space_group_name_H-M 'P 1 21/m 1'
_symmetry_Int_Tables_number 11
loop_
_symmetry_equiv_pos_as_xyz
'x,y,z'
'-x,-y,-z'
'-x,y+1/2,-z'
'x,-y+1/2,z'
loop_
_atom_site_label
_atom_site_type_symbol
_atom_site_fract_x
_atom_site_fract_y
_atom_site_fract_z
Pr1 Pr 0.0674 0.2500 0.3845
Tm1 Tm 0.2325 0.2500 0.0021
Tm2 Tm 0.3523 0.7500 0.8087
Tm3 Tm 0.4871 0.2500 0.6116
Hg1 Hg 0.0631 0.7500 0.9123
Hg2 Hg 0.1434 0.7500 0.2091
Hg3 Hg 0.1789 0.2500 0.6944
Hg4 Hg 0.2606 0.7500 0.5256
Hg5 Hg 0.3625 0.2500 0.2882
Hg6 Hg 0.4629 0.7500 0.0951
```

energy of formation from the pure elements: -0.4194 eV per atom
density of states at the Fermi level: 13.17 states/eV per cell